1.
# BaLa3Pb

A geometry-optimized BaLa3Pb structure (PBEsol, the Alexandria database).

- Crystal system: cubic
- Formation enthalpy at 0 K: 0.633 eV/atom

Unit cell a=5.7581 b=5.7581 c=5.7581 alpha=90.00 beta=90.00 gamma=90.00
Closest atoms and distances in Å follow each position.
Space group Pm-3m (No. 221)
Symmetry-distinct sites (fractional):
Ba1 0.0000 0.0000 0.0000  6 La 2.88
La1 0.0000 0.0000 0.5000  2 Ba 2.88
Pb1 0.5000 0.5000 0.5000  12 La 4.07



2.
# BaLa2PdSe

A geometry-optimized BaLa2PdSe structure (PBEsol, the Alexandria database).

- Crystal system: tetragonal
- Formation energy (no corrections): -39.0 kJ per mole of atoms

Unit cell a=5.3600 b=5.3600 c=6.5585 alpha=90.00 beta=90.00 gamma=90.00
Closest atoms and distances in Å follow each position.
Space group P4/mmm (No. 123)
Symmetry-distinct sites (fractional):
Ba1 0.0000 0.0000 0.0000  2 Pd 3.28
La1 0.0000 0.5000 0.5000  2 Pd 2.68
Pd1 0.0000 0.0000 0.5000  4 La 2.68
Se1 0.5000 0.5000 0.0000  4 Ba 3.79, 8 La 4.24



no.,magnetization (μB per atom)
1,0.0001
2,0.0001